Crystalline LiAcNdNi at its relaxed geometry, computed with PBE.

abc: 5.242 5.242 5.242
angles: 60.00 60.00 60.00
Fractional coordinates of all 4 atoms:
Ni  0.750  0.750  0.750
Ac  0.000  0.000  0.000
Nd  0.500  0.500  0.500
Li  0.250  0.250  0.250

- Formation enthalpy at 0 K: 0.005 eV/atom